# 1
# PBE Pu2InP, optimized geometry
# Offset from the most stable computed form (eV per formula unit): 0.000
# Raw total energy (eV per atom): -9.786
# ΔE_f (eV per formula unit): -2.3
data_Pu2InP
_cell_length_a 3.403
_cell_length_b 3.403
_cell_length_c 8.083
_cell_angle_alpha 90.00
_cell_angle_beta 90.00
_cell_angle_gamma 90.00
_space_group_name_H-M_alt 'P 4/m m m'
_space_group_IT_number 123
_space_group_name_Hall '-P 4 2'
loop_
_atom_site_label
_atom_site_type_symbol
_atom_site_fract_x
_atom_site_fract_y
_atom_site_fract_z
Pu1 Pu 0.000 0.000 0.198
In1 In 0.500 0.500 0.500
P1 P 0.500 0.500 0.000

=====

# 2
# PBE Pu2InP, optimized geometry
# Offset from the most stable computed form (eV per formula unit): 0.419
# Raw total energy (eV per atom): -9.682
# ΔE_f (eV per formula unit): -1.9
data_Pu2InP
_cell_length_a 3.7469
_cell_length_b 3.7469
_cell_length_c 26.1016
_cell_angle_alpha 90.00
_cell_angle_beta 90.00
_cell_angle_gamma 120.00
_space_group_name_H-M_alt 'R -3 m'
_space_group_IT_number 166
_space_group_name_Hall '-R 3 2"'
loop_
_atom_site_label
_atom_site_type_symbol
_atom_site_fract_x
_atom_site_fract_y
_atom_site_fract_z
Pu1 Pu 0.0000 0.0000 0.2330
In1 In 0.0000 0.0000 0.0000
P1 P 0.0000 0.0000 0.5000

=====

# 3
# PBE Rb2InP2, optimized geometry
# Offset from the most stable computed form (eV per formula unit): 0.000
# Raw total energy (eV per atom): -3.376
# ΔE_f (eV per formula unit): -1.4
data_Rb2InP2
_cell_length_a 14.761
_cell_length_b 4.597
_cell_length_c 11.159
_cell_angle_alpha 90.00
_cell_angle_beta 122.93
_cell_angle_gamma 90.00
_space_group_name_H-M_alt 'C 1 2/m 1'
_space_group_IT_number 12
_space_group_name_Hall '-C 2y'
loop_
_atom_site_label
_atom_site_type_symbol
_atom_site_fract_x
_atom_site_fract_y
_atom_site_fract_z
Rb1 Rb 0.013 0.000 0.170
Rb2 Rb 0.167 0.000 0.581
In1 In 0.201 0.500 0.855
P1 P 0.007 0.500 0.606
P2 P 0.178 0.500 0.075

=====

# 4
# PBE Rb2InP2, optimized geometry
# Offset from the most stable computed form (eV per formula unit): 0.577
# Raw total energy (eV per atom): -3.260
# ΔE_f (eV per formula unit): -0.8
data_Rb2InP2
_cell_length_a 10.222
_cell_length_b 8.095
_cell_length_c 8.340
_cell_angle_alpha 90.00
_cell_angle_beta 99.37
_cell_angle_gamma 90.00
_space_group_name_H-M_alt 'P 1 21/c 1'
_space_group_IT_number 14
_space_group_name_Hall '-P 2ybc'
loop_
_atom_site_label
_atom_site_type_symbol
_atom_site_fract_x
_atom_site_fract_y
_atom_site_fract_z
Rb1 Rb 0.066 0.220 0.020
Rb2 Rb 0.322 0.634 0.932
In1 In 0.388 0.097 0.831
P1 P 0.161 0.539 0.250
P2 P 0.415 0.130 0.152

=====

# 5
# PBE Rb2In2P, optimized geometry
# Offset from the most stable computed form (eV per formula unit): 0.000
# Raw total energy (eV per atom): -2.673
# ΔE_f (eV per formula unit): -0.5
data_Rb2In2P
_cell_length_a 13.064
_cell_length_b 7.759
_cell_length_c 7.587
_cell_angle_alpha 90.00
_cell_angle_beta 109.44
_cell_angle_gamma 90.00
_space_group_name_H-M_alt 'C 1 2/c 1'
_space_group_IT_number 15
_space_group_name_Hall '-C 2yc'
loop_
_atom_site_label
_atom_site_type_symbol
_atom_site_fract_x
_atom_site_fract_y
_atom_site_fract_z
Rb1 Rb 0.164 0.080 0.115
In1 In 0.086 0.371 0.450
P1 P 0.000 0.330 0.750

=====

# 6
# PBE RbIn2P, optimized geometry
# Raw total energy (eV per atom): -2.969
# ΔE_f (eV per formula unit): 0.0
data_RbIn2P
_cell_length_a 3.662
_cell_length_b 3.662
_cell_length_c 8.652
_cell_angle_alpha 90.00
_cell_angle_beta 90.00
_cell_angle_gamma 90.00
_space_group_name_H-M_alt 'P 4/m m m'
_space_group_IT_number 123
_space_group_name_Hall '-P 4 2'
loop_
_atom_site_label
_atom_site_type_symbol
_atom_site_fract_x
_atom_site_fract_y
_atom_site_fract_z
Rb1 Rb 0.000 0.000 0.000
In1 In 0.500 0.500 0.324
P1 P 0.000 0.000 0.500